The following is a DFT calculation (PBE-GGA) of Ba2AgOs after structural relaxation.

Values from the calculation:
SG   I-42d, No. 122
E_form   0.62 eV/atom
Total magnetic moment   0.00 μB/cell
Uncorrected energy   -3.857 eV per atom
Density of states at the Fermi level   4.4 states/eV/f.u.

```
Ba2AgOs
1.0
10.970 0.000 0.000
0.000 10.970 0.000
0.000 0.000 5.331
Ba Ag Os
8 4 4
direct
0.087 0.250 0.125
0.250 0.587 0.375
0.250 0.913 0.875
0.413 0.250 0.625
0.587 0.750 0.625
0.750 0.087 0.875
0.750 0.413 0.375
0.913 0.750 0.125
0.000 0.000 0.500
0.000 0.500 0.750
0.500 0.000 0.250
0.500 0.500 0.000
0.000 0.000 0.000
0.000 0.500 0.250
0.500 0.000 0.750
0.500 0.500 0.500
```

The following is a DFT calculation (PBE-GGA) of BaAg2Os after structural relaxation.

Values from the calculation:
SG   Fm-3m, No. 225
E_form   0.90 eV/atom
Total magnetic moment   5.68 μB/cell
Uncorrected energy   -3.814 eV per atom
Density of states at the Fermi level   7.6 states/eV/f.u.

```
BaAg2Os
1.0
7.197 0.000 0.000
0.000 7.197 0.000
0.000 0.000 7.197
Ba Ag Os
4 8 4
direct
0.000 0.000 0.000
0.000 0.500 0.500
0.500 0.000 0.500
0.500 0.500 0.000
0.250 0.250 0.250
0.250 0.250 0.750
0.250 0.750 0.250
0.250 0.750 0.750
0.750 0.250 0.250
0.750 0.250 0.750
0.750 0.750 0.250
0.750 0.750 0.750
0.000 0.000 0.500
0.000 0.500 0.000
0.500 0.000 0.000
0.500 0.500 0.500
```

The following is a DFT calculation (PBE-GGA) of BaAgOs after structural relaxation.

Values from the calculation:
SG   F-43m, No. 216
E_form   1.14 eV/atom
Total magnetic moment   4.04 μB/cell
Uncorrected energy   -4.199 eV per atom
Density of states at the Fermi level   3.9 states/eV/f.u.

```
BaAgOs
1.0
6.924 0.000 0.000
0.000 6.924 0.000
0.000 0.000 6.924
Ba Ag Os
4 4 4
direct
0.000 0.000 0.000
0.000 0.500 0.500
0.500 0.000 0.500
0.500 0.500 0.000
0.000 0.000 0.500
0.000 0.500 0.000
0.500 0.000 0.000
0.500 0.500 0.500
0.250 0.250 0.250
0.250 0.750 0.750
0.750 0.250 0.750
0.750 0.750 0.250
```

The following is a DFT calculation (PBE-GGA) of Ba2AgOs after structural relaxation.

Values from the calculation:
SG   R-3m, No. 166
E_form   0.70 eV/atom
Total magnetic moment   3.40 μB/cell
Uncorrected energy   -3.784 eV per atom
Density of states at the Fermi level   3.7 states/eV/f.u.

```
Ba2AgOs
1.0
4.464 0.000 0.000
-2.232 3.866 0.000
0.000 0.000 25.460
Ba Ag Os
6 3 3
direct
0.000 0.000 0.239
0.000 0.000 0.761
0.333 0.667 0.427
0.333 0.667 0.906
0.667 0.333 0.094
0.667 0.333 0.573
0.000 0.000 0.000
0.333 0.667 0.667
0.667 0.333 0.333
0.000 0.000 0.500
0.333 0.667 0.167
0.667 0.333 0.833
```

The following is a DFT calculation (PBE-GGA) of Ba2AgOs after structural relaxation.

Values from the calculation:
SG   I-4m2, No. 119
E_form   0.72 eV/atom
Total magnetic moment   1.05 μB/cell
Uncorrected energy   -3.762 eV per atom
Density of states at the Fermi level   4.5 states/eV/f.u.

```
Ba2AgOs
1.0
4.749 0.000 0.000
0.000 4.749 0.000
0.000 0.000 10.079
Ba Ag Os
4 2 2
direct
0.000 0.000 0.000
0.000 0.500 0.250
0.500 0.000 0.750
0.500 0.500 0.500
0.000 0.000 0.500
0.500 0.500 0.000
0.000 0.500 0.750
0.500 0.000 0.250
```

The following is a DFT calculation (PBE-GGA) of BaAgOs after structural relaxation.

Values from the calculation:
SG   Imm2, No. 44
E_form   0.85 eV/atom
Total magnetic moment   0.00 μB/cell
Uncorrected energy   -4.486 eV per atom
Density of states at the Fermi level   2.6 states/eV/f.u.

```
BaAgOs
1.0
2.974 0.000 0.000
0.000 4.395 0.000
0.000 0.000 11.093
Ba Ag Os
2 2 2
direct
0.000 0.000 0.000
0.500 0.500 0.500
0.000 0.000 0.282
0.500 0.500 0.782
0.000 0.000 0.707
0.500 0.500 0.207
```

The following is a DFT calculation (PBE-GGA) of BaAg2Os after structural relaxation.

Values from the calculation:
SG   Pm, No. 6
E_form   0.73 eV/atom
Total magnetic moment   0.00 μB/cell
Uncorrected energy   -3.988 eV per atom
Density of states at the Fermi level   3.0 states/eV/f.u.

```
BaAg2Os
1.0
2.929 0.000 0.000
0.000 4.602 0.000
-1.446 0.000 6.817
Ba Ag Os
1 2 1
direct
0.000 0.000 0.000
0.233 0.000 0.452
0.345 0.500 0.688
0.668 0.500 0.327
```

The following is a DFT calculation (PBE-GGA) of Ba2AgOs after structural relaxation.

Values from the calculation:
SG   Imm2, No. 44
E_form   0.57 eV/atom
Total magnetic moment   1.02 μB/cell
Uncorrected energy   -3.909 eV per atom
Density of states at the Fermi level   4.9 states/eV/f.u.

```
Ba2AgOs
1.0
3.771 0.000 0.000
0.000 5.413 0.000
0.000 0.000 11.769
Ba Ag Os
4 2 2
direct
0.000 0.000 0.000
0.000 0.500 0.200
0.500 0.000 0.700
0.500 0.500 0.500
0.000 0.000 0.403
0.500 0.500 0.903
0.000 0.500 0.733
0.500 0.000 0.233
```

The highest uncorrected energy belongs to which entry?
number 5